Density functional theory data (PBE-GGA) for a geometry-optimized VTcSb structure.

Computed properties:
- N(E_F): 5.15 states/eV/f.u.
- Uncorrected formation energy: 0.10 eV/atom
- Distance to the lowest polymorph of the same formula: 0.0 kJ/mol of atoms
- Total DFT energy (no corrections): -7.773 eV per atom

a = 4.316 Å, b = 4.316 Å, c = 4.316 Å
α = 60.00°, β = 60.00°, γ = 60.00°
Fractional positions:
V 0.000 0.000 0.000
Tc 0.250 0.250 0.250
Sb 0.500 0.500 0.500

---

Density functional theory data (PBE-GGA) for a geometry-optimized VTcSb structure.

Computed properties:
- N(E_F): 2.36 states/eV/f.u.
- Uncorrected formation energy: 0.20 eV/atom
- Distance to the lowest polymorph of the same formula: 10.0 kJ/mol of atoms
- Total DFT energy (no corrections): -7.669 eV per atom

a = 4.342 Å, b = 4.342 Å, c = 10.525 Å
α = 109.89°, β = 109.89°, γ = 40.64°
Fractional positions:
V 0.107 0.107 0.430
V 0.893 0.893 0.570
Tc 0.225 0.225 0.674
Tc 0.775 0.775 0.326
Sb 0.023 0.023 0.855
Sb 0.977 0.977 0.145

---

Density functional theory data (PBE-GGA) for a geometry-optimized Y2VTcSb structure.

Computed properties:
- N(E_F): 10.73 states/eV/f.u.
- Uncorrected formation energy: 1.20 eV/atom
- Distance to the lowest polymorph of the same formula: 85.4 kJ/mol of atoms
- Total DFT energy (no corrections): -6.102 eV per atom

a = 5.548 Å, b = 5.548 Å, c = 4.745 Å
α = 90.00°, β = 90.00°, γ = 90.00°
Fractional positions:
Y 0.000 0.500 0.000
Y 0.500 0.000 0.000
V 0.000 0.000 0.500
Tc 0.500 0.500 0.500
Sb 0.000 0.000 0.000

---

Density functional theory data (PBE-GGA) for a geometry-optimized Y2VTcSb structure.

Computed properties:
- N(E_F): 4.89 states/eV/f.u.
- Uncorrected formation energy: 0.32 eV/atom
- Distance to the lowest polymorph of the same formula: 0.0 kJ/mol of atoms
- Total DFT energy (no corrections): -6.987 eV per atom

a = 5.360 Å, b = 5.360 Å, c = 4.377 Å
α = 90.00°, β = 90.00°, γ = 90.00°
Fractional positions:
Y 0.000 0.500 0.000
Y 0.500 0.000 0.000
V 0.000 0.000 0.000
Tc 0.000 0.000 0.500
Sb 0.500 0.500 0.500

---

Density functional theory data (PBE-GGA) for a geometry-optimized V2ZnTcSb structure.

Computed properties:
- N(E_F): 3.96 states/eV/f.u.
- Uncorrected formation energy: 0.92 eV/atom
- Total DFT energy (no corrections): -5.876 eV per atom

a = 4.745 Å, b = 4.745 Å, c = 4.991 Å
α = 90.00°, β = 90.00°, γ = 90.00°
Fractional positions:
V 0.000 0.500 0.000
V 0.500 0.000 0.000
Zn 0.000 0.000 0.500
Tc 0.500 0.500 0.000
Sb 0.500 0.500 0.500

---

Density functional theory data (PBE-GGA) for a geometry-optimized ZrVTcSb2 structure.

Computed properties:
- N(E_F): 10.28 states/eV/f.u.
- Uncorrected formation energy: 0.99 eV/atom
- Total DFT energy (no corrections): -6.270 eV per atom

a = 5.097 Å, b = 5.097 Å, c = 4.905 Å
α = 90.00°, β = 90.00°, γ = 90.00°
Fractional positions:
Zr 0.000 0.000 0.000
V 0.500 0.500 0.000
Tc 0.000 0.000 0.500
Sb 0.000 0.500 0.500
Sb 0.500 0.000 0.500

---

Density functional theory data (PBE-GGA) for a geometry-optimized TcSb2W structure.

Computed properties:
- N(E_F): 3.76 states/eV/f.u.
- Uncorrected formation energy: 0.53 eV/atom
- Distance to the lowest polymorph of the same formula: 36.3 kJ/mol of atoms
- Total DFT energy (no corrections): -7.363 eV per atom

a = 4.626 Å, b = 4.626 Å, c = 5.568 Å
α = 101.62°, β = 101.62°, γ = 39.71°
Fractional positions:
Tc 0.000 0.000 0.000
Sb 0.253 0.253 0.754
Sb 0.747 0.747 0.246
W 0.500 0.500 0.500

---

Density functional theory data (PBE-GGA) for a geometry-optimized TcSb2W structure.

Computed properties:
- N(E_F): 1.61 states/eV/f.u.
- Uncorrected formation energy: 0.30 eV/atom
- Distance to the lowest polymorph of the same formula: 13.9 kJ/mol of atoms
- Total DFT energy (no corrections): -7.595 eV per atom

a = 10.841 Å, b = 10.841 Å, c = 10.841 Å
α = 16.54°, β = 16.54°, γ = 16.54°
Fractional positions:
Tc 0.000 0.000 0.000
Sb 0.266 0.266 0.266
Sb 0.465 0.465 0.465
W 0.727 0.727 0.727

---

Density functional theory data (PBE-GGA) for a geometry-optimized TcSbW2 structure.

Computed properties:
- N(E_F): 2.60 states/eV/f.u.
- Uncorrected formation energy: 0.52 eV/atom
- Total DFT energy (no corrections): -9.580 eV per atom

a = 9.320 Å, b = 9.320 Å, c = 9.320 Å
α = 18.18°, β = 18.18°, γ = 18.18°
Fractional positions:
Tc 0.000 0.000 0.000
Sb 0.500 0.500 0.500
W 0.255 0.255 0.255
W 0.745 0.745 0.745

---

Density functional theory data (PBE-GGA) for a geometry-optimized TcSbW2 structure.

Computed properties:
- N(E_F): 2.23 states/eV/f.u.
- Uncorrected formation energy: 0.45 eV/atom
- Total DFT energy (no corrections): -9.645 eV per atom

a = 2.955 Å, b = 4.442 Å, c = 5.247 Å
α = 90.00°, β = 96.87°, γ = 90.00°
Fractional positions:
Tc 0.000 0.000 0.000
Sb 0.988 0.500 0.719
W 0.407 0.000 0.466
W 0.624 0.500 0.214

---

Density functional theory data (PBE-GGA) for a geometry-optimized TcSbW2 structure.

Computed properties:
- N(E_F): 2.90 states/eV/f.u.
- Uncorrected formation energy: 0.46 eV/atom
- Total DFT energy (no corrections): -9.635 eV per atom

a = 9.114 Å, b = 9.114 Å, c = 9.114 Å
α = 18.86°, β = 18.86°, γ = 18.86°
Fractional positions:
Tc 0.000 0.000 0.000
Sb 0.247 0.247 0.247
W 0.492 0.492 0.492
W 0.742 0.742 0.742

---

Density functional theory data (PBE-GGA) for a geometry-optimized Tc2Sb2W structure.

Computed properties:
- N(E_F): 4.83 states/eV/f.u.
- Uncorrected formation energy: 1.07 eV/atom
- Distance to the lowest polymorph of the same formula: 45.5 kJ/mol of atoms
- Total DFT energy (no corrections): -7.320 eV per atom

a = 5.300 Å, b = 5.300 Å, c = 5.300 Å
α = 123.38°, β = 123.38°, γ = 84.24°
Fractional positions:
Tc 0.145 0.145 0.000
Tc 0.855 0.855 0.000
Sb 0.250 0.750 0.500
Sb 0.750 0.250 0.500
W 0.500 0.500 0.000